Entry 1:
DFT (GGA-PBE) results for a geometry-optimized Nd3ErTl4Se8 structure.

Structure (POSCAR):
```
Nd3ErTl4Se8
1.0
-1.2886 7.9173 -3.0128
-8.8730 -1.9878 -1.4287
3.1187 -1.1225 7.9012
Nd Er Tl Se
3 1 4 8
direct
0.5000 0.5000 0.0000
0.5000 0.5000 0.5000
0.0000 0.5000 0.5000
0.0000 0.5000 0.0000
0.5000 0.0000 0.0000
0.5000 0.0000 0.5000
0.0000 0.0000 0.0000
0.0000 0.0000 0.5000
0.2313 0.7076 0.9765
0.2313 0.7076 0.4626
0.2625 0.2878 0.5251
0.7452 0.7076 0.9765
0.2548 0.2924 0.0235
0.7375 0.7122 0.4749
0.7687 0.2924 0.5374
0.7687 0.2924 0.0235
```

Calculated values
Crystal system ... trigonal
ρ ... 6896 kg/m3
Total magnetization ... 0.00 μB per atom
Uncorrected energy ... -78.22 eV for the cell shown


Entry 2:
DFT (GGA-PBE) results for a geometry-optimized Nd3ErTl3Se8 structure.

Structure (POSCAR):
```
Nd3ErTl3Se8
1.0
8.5523 0.0000 0.0000
-4.2762 7.4067 -0.0273
0.0000 -4.9105 7.6284
Nd Er Tl Se
3 1 3 8
direct
0.5000 0.0000 0.5000
0.5000 0.5000 0.5000
0.0000 0.5000 0.5000
0.0000 0.0000 0.5000
0.0000 0.0000 0.0000
0.0000 0.5000 0.0000
0.5000 0.5000 0.0000
0.2612 0.5223 0.2841
0.7388 0.4777 0.7159
0.7689 0.5378 0.2902
0.2311 0.4622 0.7098
0.7686 0.0214 0.2911
0.2314 0.9786 0.7089
0.2528 0.0214 0.2911
0.7472 0.9786 0.7089
```

Calculated values
Crystal system ... trigonal
ρ ... 6355 kg/m3
Fermi-level density of states ... 7.045 states/eV/f.u.
Total magnetization ... 0.00 μB per atom
Uncorrected energy ... -74.55 eV for the cell shown


Entry 3:
DFT (GGA-PBE) results for a geometry-optimized NdEr3Tl4Se8 structure.

Structure (POSCAR):
```
NdEr3Tl4Se8
1.0
-8.0323 -2.2748 -0.8555
1.5326 -2.1084 -8.7835
4.8314 -3.7433 5.7510
Nd Er Tl Se
1 3 4 8
direct
0.0000 0.5000 0.0000
0.5000 0.5000 0.0000
0.5000 0.5000 0.5000
0.0000 0.5000 0.5000
0.5000 0.0000 0.0000
0.5000 0.0000 0.5000
0.0000 0.0000 0.0000
0.0000 0.0000 0.5000
0.2399 0.7054 0.9657
0.2397 0.7054 0.4795
0.2661 0.2987 0.5322
0.7258 0.7054 0.9657
0.2742 0.2946 0.0343
0.7339 0.7014 0.4678
0.7603 0.2946 0.5205
0.7601 0.2946 0.0343
```

Calculated values
Crystal system ... trigonal
ρ ... 7336 kg/m3
Total magnetization ... 0.00 μB per atom
Uncorrected energy ... -77.82 eV for the cell shown


Entry 4:
DFT (GGA-PBE) results for a geometry-optimized NdErTl2Se4 structure.

Structure (POSCAR):
```
NdErTl2Se4
1.0
4.2400 0.0000 0.0000
0.0000 7.3478 0.1272
0.0000 -2.5784 7.7225
Nd Er Tl Se
1 1 2 4
direct
0.5000 0.5000 0.0000
0.0000 0.0000 0.0000
0.5000 0.0000 0.5000
0.0000 0.5000 0.5000
0.5000 0.2257 0.2043
0.5000 0.7743 0.7957
0.0000 0.2544 0.7913
0.0000 0.7456 0.2087
```

Calculated values
Crystal system ... monoclinic
ρ ... 7110 kg/m3
Total magnetization ... 0.00 μB per atom
Uncorrected energy ... -39.00 eV for the cell shown


Entry 5:
DFT (GGA-PBE) results for a geometry-optimized NdEr2TmSe4 structure.

Structure (POSCAR):
```
NdEr2TmSe4
1.0
-1.1000 2.5576 2.8931
-5.4171 2.1372 -3.9490
-5.6945 -4.1299 1.4858
Nd Er Tm Se
1 2 1 4
direct
0.5000 0.5000 0.0000
0.0000 0.0000 0.0000
0.5000 0.0000 0.5000
0.0000 0.5000 0.5000
0.0000 0.7609 0.7373
0.0000 0.2391 0.2627
0.5000 0.7538 0.2577
0.5000 0.2462 0.7423
```

Calculated values
Crystal system ... monoclinic
ρ ... 8312 kg/m3
Fermi-level density of states ... 4.223 states/eV/f.u.
Total magnetization ... 0.00 μB per atom
Uncorrected energy ... -46.01 eV for the cell shown


Entry 6:
DFT (GGA-PBE) results for a geometry-optimized Nd4ErTm3Se8 structure.

Structure (POSCAR):
```
Nd4ErTm3Se8
1.0
8.1170 0.0000 0.0000
0.0000 8.4037 0.1947
-4.0585 -4.0553 5.7426
Nd Er Tm Se
4 1 3 8
direct
0.5000 0.0000 0.0000
0.5000 0.0000 0.5000
0.0000 0.0000 0.0000
0.0000 0.0000 0.5000
0.0000 0.5000 0.0000
0.5000 0.5000 0.0000
0.5000 0.5000 0.5000
0.0000 0.5000 0.5000
0.2436 0.7294 0.9857
0.2436 0.7294 0.4873
0.2571 0.2713 0.5142
0.7421 0.7294 0.9857
0.2579 0.2706 0.0143
0.7429 0.7287 0.4858
0.7564 0.2706 0.5127
0.7564 0.2706 0.0143
```

Calculated values
Crystal system ... trigonal
ρ ... 7853 kg/m3
Fermi-level density of states ... 8.214 states/eV/f.u.
Total magnetization ... 0.00 μB per atom
Uncorrected energy ... -93.12 eV for the cell shown


Entry 7:
DFT (GGA-PBE) results for a geometry-optimized NdEr2TmSe6 structure.

Structure (POSCAR):
```
NdEr2TmSe6
1.0
7.2201 0.0003 0.0003
3.6103 6.2526 0.0002
3.6099 2.0846 6.4680
Nd Er Tm Se
1 2 1 6
direct
0.8128 0.8128 0.5614
0.5152 0.5151 0.4547
0.0113 0.0113 0.9662
0.3189 0.3189 0.0433
0.6088 0.2286 0.2465
0.2285 0.9161 0.2465
0.9162 0.6088 0.2465
0.3961 0.7247 0.7500
0.7248 0.1290 0.7500
0.1291 0.3962 0.7500
```

Calculated values
Crystal system ... trigonal
ρ ... 6378 kg/m3
Fermi-level density of states ... 0.000 states/eV/f.u.
Total magnetization ... 0.00 μB per atom
Uncorrected energy ... -57.65 eV for the cell shown


Entry 8:
DFT (GGA-PBE) results for a geometry-optimized Nd2ErTmSe5 structure.

Structure (POSCAR):
```
Nd2ErTmSe5
1.0
5.0661 0.0000 0.0000
0.0000 5.0661 0.0000
0.0000 0.0000 10.6434
Nd Er Tm Se
2 1 1 5
direct
0.5000 0.5000 0.3018
0.5000 0.5000 0.6982
0.0000 0.0000 0.0000
0.0000 0.0000 0.5000
0.0000 0.5000 0.5000
0.5000 0.0000 0.5000
0.0000 0.0000 0.7548
0.0000 0.0000 0.2452
0.5000 0.5000 0.0000
```

Calculated values
Crystal system ... tetragonal
ρ ... 6197 kg/m3
Fermi-level density of states ... 6.670 states/eV/f.u.
Total magnetization ... 0.00 μB per atom
Uncorrected energy ... -47.52 eV for the cell shown


Entry 9:
DFT (GGA-PBE) results for a geometry-optimized Nd4Er3TmSe8 structure.

Structure (POSCAR):
```
Nd4Er3TmSe8
1.0
8.1365 0.0000 0.0000
0.0000 8.4028 0.1806
-4.0682 -4.0650 5.7563
Nd Er Tm Se
4 3 1 8
direct
0.5000 0.0000 0.0000
0.5000 0.0000 0.5000
0.0000 0.0000 0.0000
0.0000 0.0000 0.5000
0.5000 0.5000 0.0000
0.5000 0.5000 0.5000
0.0000 0.5000 0.5000
0.0000 0.5000 0.0000
0.2429 0.7302 0.9874
0.2429 0.7301 0.4858
0.2564 0.2692 0.5128
0.7444 0.7302 0.9874
0.2556 0.2698 0.0126
0.7436 0.7308 0.4872
0.7571 0.2699 0.5142
0.7571 0.2698 0.0126
```

Calculated values
Crystal system ... trigonal
ρ ... 7811 kg/m3
Fermi-level density of states ... 8.390 states/eV/f.u.
Total magnetization ... 0.00 μB per atom
Uncorrected energy ... -93.41 eV for the cell shown


Entry 10:
DFT (GGA-PBE) results for a geometry-optimized NdErTm2Se4 structure.

Structure (POSCAR):
```
NdErTm2Se4
1.0
4.0032 0.0000 0.0000
0.0000 7.1771 -0.2249
0.0000 2.4437 6.5970
Nd Er Tm Se
1 1 2 4
direct
0.5000 0.5000 0.0000
0.0000 0.5000 0.5000
0.0000 0.0000 0.0000
0.5000 0.0000 0.5000
0.0000 0.7641 0.7378
0.0000 0.2359 0.2622
0.5000 0.7583 0.2546
0.5000 0.2417 0.7454
```

Calculated values
Crystal system ... monoclinic
ρ ... 8359 kg/m3
Fermi-level density of states ... 4.174 states/eV/f.u.
Total magnetization ... 0.00 μB per atom
Uncorrected energy ... -45.88 eV for the cell shown


Entry 11:
DFT (GGA-PBE) results for a geometry-optimized NdEr2Tm3Se6 structure.

Structure (POSCAR):
```
NdEr2Tm3Se6
1.0
4.0337 0.0000 0.0000
0.0000 8.1790 0.2768
-2.0169 -2.3740 8.5289
Nd Er Tm Se
1 2 3 6
direct
0.5000 0.0000 0.0000
0.8359 0.6710 0.6717
0.1641 0.3290 0.3283
0.5000 0.5000 0.0000
0.8379 0.1656 0.6757
0.1621 0.8344 0.3243
0.3267 0.9143 0.6534
0.6674 0.5850 0.3348
0.6733 0.0857 0.3466
0.0006 0.2640 0.0013
0.9994 0.7360 0.9987
0.3326 0.4150 0.6652
```

Calculated values
Crystal system ... monoclinic
ρ ... 8532 kg/m3
Fermi-level density of states ... 5.533 states/eV/f.u.
Total magnetization ... 0.00 μB per atom
Uncorrected energy ... -68.61 eV for the cell shown


Entry 12:
DFT (GGA-PBE) results for a geometry-optimized Nd3YEr3Se8 structure.

Structure (POSCAR):
```
Nd3YEr3Se8
1.0
-3.3453 2.8133 -6.9327
-4.1459 -5.2808 4.7019
1.1473 7.7763 2.6020
Nd Y Er Se
3 1 3 8
direct
0.0000 0.0000 0.0000
0.0000 0.5000 0.0000
0.5000 0.5000 0.0000
0.0000 0.0000 0.5000
0.5000 0.0000 0.5000
0.5000 0.5000 0.5000
0.0000 0.5000 0.5000
0.2556 0.5112 0.2667
0.7444 0.4888 0.7333
0.7490 0.4981 0.2603
0.2510 0.5019 0.7397
0.7492 0.0112 0.2603
0.2508 0.9888 0.7397
0.2620 0.0112 0.2603
0.7380 0.9888 0.7397
```

Calculated values
Crystal system ... trigonal
ρ ... 6952 kg/m3
Fermi-level density of states ... 6.814 states/eV/f.u.
Total magnetization ... 0.00 μB per atom
Uncorrected energy ... -89.98 eV for the cell shown


Entry 13:
DFT (GGA-PBE) results for a geometry-optimized Nd2YErSe6 structure.

Structure (POSCAR):
```
Nd2YErSe6
1.0
-6.3156 3.7416 0.0452
-4.8900 -0.9869 -5.3854
-6.5397 -3.8563 1.6410
Nd Y Er Se
2 1 1 6
direct
0.5195 0.5195 0.4417
0.0196 0.0196 0.9412
0.3188 0.3187 0.0438
0.8190 0.8191 0.5427
0.6042 0.2035 0.2587
0.2034 0.9335 0.2587
0.9336 0.6042 0.2588
0.4361 0.7058 0.7565
0.7059 0.1014 0.7566
0.1015 0.4362 0.7566
```

Calculated values
Crystal system ... trigonal
ρ ... 5567 kg/m3
Fermi-level density of states ... 0.000 states/eV/f.u.
Total magnetization ... 0.00 μB per atom
Uncorrected energy ... -59.93 eV for the cell shown


Entry 14:
DFT (GGA-PBE) results for a geometry-optimized NdY3Er2Se6 structure.

Structure (POSCAR):
```
NdY3Er2Se6
1.0
4.0758 0.0000 0.0000
0.0000 8.2334 0.3285
-2.0379 -2.3372 8.5942
Nd Y Er Se
1 3 2 6
direct
0.5000 0.0000 0.0000
0.5000 0.5000 0.0000
0.8384 0.1655 0.6768
0.1616 0.8345 0.3232
0.8355 0.6701 0.6709
0.1645 0.3299 0.3291
0.3279 0.9097 0.6557
0.6689 0.5812 0.3378
0.6721 0.0903 0.3443
0.0027 0.2606 0.0054
0.9973 0.7394 0.9946
0.3311 0.4188 0.6622
```

Calculated values
Crystal system ... monoclinic
ρ ... 6945 kg/m3
Fermi-level density of states ... 5.947 states/eV/f.u.
Total magnetization ... 0.00 μB per atom
Uncorrected energy ... -75.22 eV for the cell shown


Entry 15:
DFT (GGA-PBE) results for a geometry-optimized NdY3Er4Se8 structure.

Structure (POSCAR):
```
NdY3Er4Se8
1.0
-5.3461 -3.0994 5.2884
-4.9394 -2.0660 -6.2042
7.7182 -2.5680 0.0427
Nd Y Er Se
1 3 4 8
direct
0.0000 0.5000 0.0000
0.5000 0.5000 0.0000
0.5000 0.5000 0.5000
0.0000 0.5000 0.5000
0.5000 0.0000 0.0000
0.5000 0.0000 0.5000
0.0000 0.0000 0.0000
0.0000 0.0000 0.5000
0.2560 0.7597 0.0037
0.2560 0.7597 0.5120
0.2482 0.2446 0.4964
0.7476 0.7597 0.0037
0.2524 0.2403 0.9963
0.7518 0.7554 0.5036
0.7440 0.2403 0.4880
0.7440 0.2403 0.9963
```

Calculated values
Crystal system ... trigonal
ρ ... 7386 kg/m3
Fermi-level density of states ... 10.278 states/eV/f.u.
Total magnetization ... 0.00 μB per atom
Uncorrected energy ... -98.02 eV for the cell shown


Entry 16:
DFT (GGA-PBE) results for a geometry-optimized NdYEr2Se6 structure.

Structure (POSCAR):
```
NdYEr2Se6
1.0
7.2487 0.0004 0.0003
3.6247 6.2774 0.0001
3.6243 2.0929 6.4808
Nd Y Er Se
1 1 2 6
direct
0.8126 0.8126 0.5621
0.3174 0.3174 0.0477
0.5145 0.5145 0.4566
0.0115 0.0116 0.9654
0.6144 0.2290 0.2465
0.2290 0.9101 0.2465
0.9102 0.6144 0.2465
0.3954 0.7274 0.7480
0.7274 0.1291 0.7480
0.1292 0.3955 0.7480
```

Calculated values
Crystal system ... trigonal
ρ ... 5864 kg/m3
Fermi-level density of states ... 0.000 states/eV/f.u.
Total magnetization ... 0.00 μB per atom
Uncorrected energy ... -59.73 eV for the cell shown


Entry 17:
DFT (GGA-PBE) results for a geometry-optimized Nd2YErSe5 structure.

Structure (POSCAR):
```
Nd2YErSe5
1.0
-3.1680 -2.6114 -3.0261
1.8271 -4.3804 1.8673
-7.4622 0.1592 7.6749
Nd Y Er Se
2 1 1 5
direct
0.5000 0.5000 0.3162
0.5000 0.5000 0.6838
0.0000 0.0000 0.0000
0.0000 0.0000 0.5000
0.0000 0.5000 0.5000
0.5000 0.0000 0.5000
0.0000 0.0000 0.7538
0.0000 0.0000 0.2462
0.5000 0.5000 0.0000
```

Calculated values
Crystal system ... tetragonal
ρ ... 5602 kg/m3
Fermi-level density of states ... 6.501 states/eV/f.u.
Total magnetization ... 0.00 μB per atom
Uncorrected energy ... -49.59 eV for the cell shown


Entry 18:
DFT (GGA-PBE) results for a geometry-optimized Nd2YEr3Se6 structure.

Structure (POSCAR):
```
Nd2YEr3Se6
1.0
4.0726 0.0000 0.0000
0.0000 8.3081 0.2096
-2.0363 -2.4857 8.6511
Nd Y Er Se
2 1 3 6
direct
0.8316 0.6639 0.6632
0.1684 0.3361 0.3368
0.5000 0.0000 0.0000
0.5000 0.5000 0.0000
0.8304 0.1666 0.6608
0.1696 0.8334 0.3392
0.3337 0.9289 0.6673
0.6618 0.5933 0.3235
0.6663 0.0711 0.3327
0.9955 0.2511 0.9911
0.0045 0.7489 0.0089
0.3382 0.4067 0.6765
```

Calculated values
Crystal system ... monoclinic
ρ ... 7620 kg/m3
Fermi-level density of states ... 5.271 states/eV/f.u.
Total magnetization ... 0.00 μB per atom
Uncorrected energy ... -71.69 eV for the cell shown


Entry 19:
DFT (GGA-PBE) results for a geometry-optimized Nd2Y3ErSe6 structure.

Structure (POSCAR):
```
Nd2Y3ErSe6
1.0
-3.7690 -1.0461 -1.2472
3.2550 -5.8167 -4.9577
0.5422 -3.8632 8.3589
Nd Y Er Se
2 3 1 6
direct
0.8308 0.6630 0.6616
0.1692 0.3370 0.3384
0.5000 0.5000 0.0000
0.8286 0.1661 0.6572
0.1714 0.8339 0.3428
0.5000 0.0000 0.0000
0.3370 0.9270 0.6740
0.6623 0.5906 0.3246
0.6630 0.0730 0.3260
0.9963 0.2441 0.9925
0.0037 0.7559 0.0075
0.3377 0.4094 0.6754
```

Calculated values
Crystal system ... monoclinic
ρ ... 6655 kg/m3
Fermi-level density of states ... 5.848 states/eV/f.u.
Total magnetization ... 0.00 μB per atom
Uncorrected energy ... -75.73 eV for the cell shown


Entry 20:
DFT (GGA-PBE) results for a geometry-optimized Nd2YErSe4 structure.

Structure (POSCAR):
```
Nd2YErSe4
1.0
-3.3913 -1.7468 1.4342
-1.1859 -2.9252 -6.3671
4.0746 -4.6354 3.9891
Nd Y Er Se
2 1 1 4
direct
0.5000 0.0000 0.5000
0.0000 0.5000 0.5000
0.0000 0.0000 0.0000
0.5000 0.5000 0.0000
0.5000 0.2470 0.2346
0.5000 0.7530 0.7654
0.0000 0.2582 0.7670
0.0000 0.7418 0.2330
```

Calculated values
Crystal system ... monoclinic
ρ ... 7084 kg/m3
Fermi-level density of states ... 4.004 states/eV/f.u.
Total magnetization ... 0.00 μB per atom
Uncorrected energy ... -48.82 eV for the cell shown


The records above yield formation energy (no corrections) values of -1.376, -1.380, -1.376, -1.374, -1.714, -1.762, -1.838, -1.281, -1.769, -1.708, -1.700, -1.843, -1.846, -1.752, -1.733, -1.846, -1.290, -1.758, -1.778, -1.790 eV per atom, respectively.